[1]
Entry from Alexandria via LeMat-Bulk: an optimized crystal structure of LiZr2Br8 (PBE).

```
LiZr2Br8
1.0
6.400 -5.318 0.000
6.400 5.318 0.000
-0.029 0.000 7.024
Li Zr Br
1 2 8
direct
0.000 0.000 0.000
0.207 0.207 0.654
0.793 0.793 0.346
0.074 0.714 0.192
0.181 0.181 0.297
0.286 0.926 0.808
0.394 0.394 0.758
0.606 0.606 0.242
0.714 0.074 0.192
0.819 0.819 0.703
0.926 0.286 0.808
```

Values from the calculation:
* V: 43.5 A^3/atom
* crystal system: monoclinic
* formation energy from raw total energies: -1330 kJ/mol of formula units

=====

[2]
Entry from Alexandria via LeMat-Bulk: an optimized crystal structure of PuTlInGa (PBE).

```
PuTlInGa
1.0
0.000 3.678 3.678
3.678 0.000 3.678
3.678 3.678 0.000
Pu Tl In Ga
1 1 1 1
direct
0.000 0.000 0.000
0.750 0.750 0.750
0.500 0.500 0.500
0.250 0.250 0.250
```

Values from the calculation:
* V: 24.9 A^3/atom
* E_form: -0.040 eV per atom
* crystal system: cubic